A plane-wave DFT calculation with PBE was carried out for Ca2YTc2 after structural relaxation.

## Properties
M_tot   2.6 μB per cell
E_tot   -58.06 eV per cell
Calculated volume   255 Å³/cell
E_form   0.434 eV per atom

```
Ca2YTc2
1.0
7.146 0.000 0.000
0.000 7.146 0.000
0.000 0.000 4.991
Ca Y Tc
4 2 4
Cartesian
1.209 2.364 0.000
2.364 5.937 0.000
4.782 1.209 0.000
5.937 4.782 0.000
0.000 0.000 2.496
3.573 3.573 2.496
0.814 4.388 2.496
2.759 0.814 2.496
4.388 6.332 2.496
6.332 2.759 2.496
```

A plane-wave DFT calculation with PBE was carried out for Ca2YTc after structural relaxation.

## Properties
Excess energy over the best structure of this formula in the dataset   0.3592 eV/atom
M_tot   1.0 μB per cell
E_tot   -18.53 eV per cell
Calculated volume   107 Å³/cell
E_form   0.575 eV per atom

```
Ca2YTc
1.0
3.463 0.000 0.000
0.000 4.589 0.000
0.000 0.000 6.746
Ca Y Tc
2 1 1
Cartesian
0.000 0.000 1.461
0.000 0.000 5.286
1.732 2.294 3.373
1.732 2.294 0.000
```

A plane-wave DFT calculation with PBE was carried out for CaYTc after structural relaxation.

## Properties
Excess energy over the best structure of this formula in the dataset   0.0000 eV/atom
M_tot   0.0 μB per cell
E_tot   -17.99 eV per cell
Calculated volume   79 Å³/cell
E_form   0.280 eV per atom

```
CaYTc
1.0
-1.759 1.759 6.357
1.759 -1.759 6.357
1.759 1.759 -6.357
Ca Y Tc
1 1 1
Cartesian
0.000 0.000 0.000
0.000 0.000 3.313
0.000 0.000 8.220
```

A plane-wave DFT calculation with PBE was carried out for Ca2YTc after structural relaxation.

## Properties
Excess energy over the best structure of this formula in the dataset   0.3938 eV/atom
M_tot   0.0 μB per cell
E_tot   -18.39 eV per cell
Calculated volume   105 Å³/cell
E_form   0.610 eV per atom

```
Ca2YTc
1.0
3.060 -5.505 0.000
3.060 5.505 0.000
-1.125 0.000 3.107
Ca Y Tc
2 1 1
Cartesian
1.530 2.753 0.000
1.530 -2.753 0.000
-0.563 0.000 1.553
2.498 0.000 1.553
```

A plane-wave DFT calculation with PBE was carried out for Ca2YTc after structural relaxation.

## Properties
Excess energy over the best structure of this formula in the dataset   0.3919 eV/atom
M_tot   0.0 μB per cell
E_tot   -18.40 eV per cell
Calculated volume   104 Å³/cell
E_form   0.608 eV per atom

```
Ca2YTc
1.0
0.000 3.728 3.728
3.728 0.000 3.728
3.728 3.728 0.000
Ca Y Tc
2 1 1
Cartesian
1.864 1.864 1.864
5.592 5.592 5.592
0.000 0.000 0.000
3.728 3.728 3.728
```

A plane-wave DFT calculation with PBE was carried out for CaYTc after structural relaxation.

## Properties
Excess energy over the best structure of this formula in the dataset   0.3134 eV/atom
M_tot   0.0 μB per cell
E_tot   -17.05 eV per cell
Calculated volume   81 Å³/cell
E_form   0.593 eV per atom

```
CaYTc
1.0
0.000 3.433 3.433
3.433 0.000 3.433
3.433 3.433 0.000
Ca Y Tc
1 1 1
Cartesian
0.000 0.000 0.000
3.433 3.433 3.433
1.716 1.716 1.716
```

A plane-wave DFT calculation with PBE was carried out for Ca2YTc after structural relaxation.

## Properties
Excess energy over the best structure of this formula in the dataset   0.1906 eV/atom
M_tot   0.0 μB per cell
E_tot   -19.21 eV per cell
Calculated volume   102 Å³/cell
E_form   0.407 eV per atom

```
Ca2YTc
1.0
-2.626 2.626 3.710
2.626 -2.626 3.710
2.626 2.626 -3.710
Ca Y Tc
2 1 1
Cartesian
0.000 0.000 0.000
0.000 2.626 1.855
2.626 0.000 1.855
0.000 0.000 3.710
```

A plane-wave DFT calculation with PBE was carried out for CaYTc2 after structural relaxation.

## Properties
Excess energy over the best structure of this formula in the dataset   0.5323 eV/atom
M_tot   1.4 μB per cell
E_tot   -26.54 eV per cell
Calculated volume   82 Å³/cell
E_form   0.665 eV per atom

```
CaYTc2
1.0
-2.145 2.145 4.448
2.145 -2.145 4.448
2.145 2.145 -4.448
Ca Y Tc
1 1 2
Cartesian
0.000 0.000 0.000
0.000 0.000 4.448
2.145 0.000 2.224
0.000 2.145 2.224
```

A plane-wave DFT calculation with PBE was carried out for Ca2YTc after structural relaxation.

## Properties
Excess energy over the best structure of this formula in the dataset   0.2573 eV/atom
M_tot   0.0 μB per cell
E_tot   -18.94 eV per cell
Calculated volume   104 Å³/cell
E_form   0.474 eV per atom

```
Ca2YTc
1.0
4.510 0.000 0.000
0.000 4.510 0.000
0.000 0.000 5.122
Ca Y Tc
2 1 1
Cartesian
0.000 2.255 0.000
2.255 0.000 0.000
0.000 0.000 2.561
2.255 2.255 2.561
```

A plane-wave DFT calculation with PBE was carried out for CaYTc2 after structural relaxation.

## Properties
Excess energy over the best structure of this formula in the dataset   0.5322 eV/atom
M_tot   3.1 μB per cell
E_tot   -26.54 eV per cell
Calculated volume   86 Å³/cell
E_form   0.665 eV per atom

```
CaYTc2
1.0
3.224 0.000 0.000
0.000 3.224 0.000
0.000 0.000 8.241
Ca Y Tc
1 1 2
Cartesian
0.000 0.000 0.000
0.000 0.000 4.121
1.612 1.612 2.154
1.612 1.612 6.088
```

A plane-wave DFT calculation with PBE was carried out for CaYTc2 after structural relaxation.

## Properties
Excess energy over the best structure of this formula in the dataset   0.2974 eV/atom
M_tot   0.0 μB per cell
E_tot   -27.48 eV per cell
Calculated volume   96 Å³/cell
E_form   0.430 eV per atom

```
CaYTc2
1.0
3.802 0.000 0.000
0.000 3.802 0.000
0.000 0.000 6.643
Ca Y Tc
1 1 2
Cartesian
0.000 0.000 0.000
0.000 0.000 3.321
1.901 1.901 2.175
1.901 1.901 4.468
```

A plane-wave DFT calculation with PBE was carried out for CaYTc2 after structural relaxation.

## Properties
Excess energy over the best structure of this formula in the dataset   0.5101 eV/atom
M_tot   3.0 μB per cell
E_tot   -26.62 eV per cell
Calculated volume   84 Å³/cell
E_form   0.643 eV per atom

```
CaYTc2
1.0
4.869 0.000 0.000
0.000 4.869 0.000
0.000 0.000 3.549
Ca Y Tc
1 1 2
Cartesian
0.000 0.000 0.000
2.434 2.434 0.000
0.000 2.434 1.775
2.434 0.000 1.775
```

A plane-wave DFT calculation with PBE was carried out for CaYTc2 after structural relaxation.

## Properties
Excess energy over the best structure of this formula in the dataset   0.1280 eV/atom
M_tot   0.0 μB per cell
E_tot   -28.15 eV per cell
Calculated volume   96 Å³/cell
E_form   0.261 eV per atom

```
CaYTc2
1.0
3.364 0.000 0.000
0.000 4.164 0.000
-1.670 0.000 6.841
Ca Y Tc
1 1 2
Cartesian
0.000 0.000 0.000
-0.070 2.082 4.181
1.318 0.000 2.681
1.945 2.082 1.713
```

A plane-wave DFT calculation with PBE was carried out for Ca2YTc after structural relaxation.

## Properties
Excess energy over the best structure of this formula in the dataset   1.2719 eV/atom
M_tot   0.0 μB per cell
E_tot   -29.76 eV per cell
Calculated volume   315 Å³/cell
E_form   1.488 eV per atom

```
Ca2YTc
1.0
-3.633 3.633 5.962
3.633 -3.633 5.962
3.633 3.633 -5.962
Ca Y Tc
4 2 2
Cartesian
0.007 1.816 1.491
-1.816 3.625 4.472
-0.007 5.449 1.491
1.816 3.640 4.472
3.633 0.000 2.981
0.000 0.000 5.962
0.000 0.000 0.000
0.000 3.633 2.981
```

A plane-wave DFT calculation with PBE was carried out for CaY2Tc2 after structural relaxation.

## Properties
Excess energy over the best structure of this formula in the dataset   0.2566 eV/atom
M_tot   1.9 μB per cell
E_tot   -33.42 eV per cell
Calculated volume   131 Å³/cell
E_form   0.449 eV per atom

```
CaY2Tc2
1.0
-2.354 2.354 5.901
2.354 -2.354 5.901
2.354 2.354 -5.901
Ca Y Tc
1 2 2
Cartesian
0.000 0.000 0.000
2.354 0.000 2.950
0.000 2.354 2.950
0.000 0.000 4.757
0.000 0.000 7.044
```